Below is crystalline SrCa2I6 at its relaxed geometry, with properties calculated at the PBE level.

Results
total energy	-29.8	eV per cell
crystal system	monoclinic

Structure (CIF):
```
data_SrCa2I6
_space_group_name_H-M_alt 'P 1'
_space_group_IT_number 1
_space_group_name_Hall 'P 1'
_cell_length_a 10.4233
_cell_length_b 10.4233
_cell_length_c 9.3761
_cell_angle_alpha 103.28
_cell_angle_beta 103.28
_cell_angle_gamma 25.73
loop_
_atom_site_label
_atom_site_type_symbol
_atom_site_fract_x
_atom_site_fract_y
_atom_site_fract_z
Sr1 Sr 0.0000 0.0000 0.0000
Ca1 Ca 0.3313 0.3313 0.6631
Ca2 Ca 0.6687 0.6687 0.3369
I1 I 0.1675 0.1675 0.1045
I2 I 0.1715 0.1715 0.5698
I3 I 0.4917 0.4917 0.7475
I4 I 0.5083 0.5083 0.2525
I5 I 0.8285 0.8285 0.4302
I6 I 0.8325 0.8325 0.8955
```

***

Below is crystalline RbMgNiHg2 at its relaxed geometry, with properties calculated at the PBE level.

Results
total energy	-9.3	eV per cell
formation enthalpy at 0 K	-0.3	eV/f.u.
crystal system	tetragonal

Structure (CIF):
```
data_RbMgNiHg2
_space_group_name_H-M_alt 'P 1'
_space_group_IT_number 1
_space_group_name_Hall 'P 1'
_cell_length_a 5.2357
_cell_length_b 5.2357
_cell_length_c 4.9963
_cell_angle_alpha 90.00
_cell_angle_beta 90.00
_cell_angle_gamma 90.00
loop_
_atom_site_label
_atom_site_type_symbol
_atom_site_fract_x
_atom_site_fract_y
_atom_site_fract_z
Rb1 Rb 0.0000 0.0000 0.0000
Mg1 Mg 0.5000 0.5000 0.0000
Ni1 Ni 0.5000 0.5000 0.5000
Hg1 Hg 0.0000 0.5000 0.5000
Hg2 Hg 0.5000 0.0000 0.5000
```

***

Below is crystalline NdZr2Al at its relaxed geometry, with properties calculated at the PBE level.

Results
total energy	-26.0	eV per cell
formation enthalpy at 0 K	-0.4	eV/f.u.
crystal system	tetragonal
offset from the most stable computed form	20	meV per atom

Structure (CIF):
```
data_NdZr2Al
_space_group_name_H-M_alt 'P 1'
_space_group_IT_number 1
_space_group_name_Hall 'P 1'
_cell_length_a 3.1381
_cell_length_b 3.1381
_cell_length_c 9.5709
_cell_angle_alpha 90.00
_cell_angle_beta 90.00
_cell_angle_gamma 90.00
loop_
_atom_site_label
_atom_site_type_symbol
_atom_site_fract_x
_atom_site_fract_y
_atom_site_fract_z
Nd1 Nd 0.0000 0.0000 0.0000
Zr1 Zr 0.5000 0.5000 0.2945
Zr2 Zr 0.5000 0.5000 0.7055
Al1 Al 0.0000 0.0000 0.5000
```

***

Below is crystalline Be2NbRe2 at its relaxed geometry, with properties calculated at the PBE level.

Results
total energy	-87.3	eV per cell
formation enthalpy at 0 K	-1.2	eV/f.u.
crystal system	tetragonal

Structure (CIF):
```
data_Be2NbRe2
_space_group_name_H-M_alt 'P 1'
_space_group_IT_number 1
_space_group_name_Hall 'P 1'
_cell_length_a 6.3062
_cell_length_b 6.3062
_cell_length_c 3.1539
_cell_angle_alpha 90.00
_cell_angle_beta 90.00
_cell_angle_gamma 90.00
loop_
_atom_site_label
_atom_site_type_symbol
_atom_site_fract_x
_atom_site_fract_y
_atom_site_fract_z
Be1 Be 0.1168 0.3832 0.0000
Be2 Be 0.3832 0.8832 0.0000
Be3 Be 0.6168 0.1168 0.0000
Be4 Be 0.8832 0.6168 0.0000
Nb1 Nb 0.0000 0.0000 0.0000
Nb2 Nb 0.5000 0.5000 0.0000
Re1 Re 0.1730 0.6730 0.5000
Re2 Re 0.3270 0.1730 0.5000
Re3 Re 0.6730 0.8270 0.5000
Re4 Re 0.8270 0.3270 0.5000
```